1.
Density functional theory data (GGA-PBE) for a geometry-optimized CaMg6Cr structure.

Computed properties:
Energy of formation   15 kJ/mol of atoms
V   382.6 Å³ per cell

Unit cell a=5.1760 b=6.4892 c=11.3911 alpha=90.00 beta=90.00 gamma=90.00
Space group Amm2 (No. 38)
Symmetry-distinct sites (fractional):
Ca (0.0000, 0.0000, 0.0000) [2 per cell]
Mg (0.0000, 0.0000, 0.5099) [2 per cell]
Mg (0.0000, 0.2422, 0.7552) [4 per cell]
Mg (0.5000, 0.0000, 0.3438) [2 per cell]
Mg (0.5000, 0.2422, 0.5979) [4 per cell]
Cr (0.5000, 0.0000, 0.8318) [2 per cell]

---

2.
Density functional theory data (GGA-PBE) for a geometry-optimized CaMg2Cr structure.

Computed properties:
Energy of formation   26 kJ/mol of atoms
V   97.8 Å³ per cell

Unit cell a=3.4926 b=3.6652 c=7.6362 alpha=90.00 beta=90.00 gamma=90.00
Space group Pmmm (No. 47)
Symmetry-distinct sites (fractional):
Ca (0.0000, 0.0000, 0.0000) [1 per cell]
Mg (0.5000, 0.5000, 0.3009) [2 per cell]
Cr (0.0000, 0.0000, 0.5000) [1 per cell]

---

3.
Density functional theory data (GGA-PBE) for a geometry-optimized CaMg2Cr structure.

Computed properties:
Energy of formation   34 kJ/mol of atoms
V   100.8 Å³ per cell

Unit cell a=3.3552 b=4.9370 c=6.3120 alpha=90.00 beta=105.32 gamma=90.00
Space group Pm (No. 6)
Symmetry-distinct sites (fractional):
Ca (0.0000, 0.0000, 0.0000) [1 per cell]
Mg (0.3290, 0.5000, 0.6656) [1 per cell]
Mg (0.7337, 0.0000, 0.4718) [1 per cell]
Cr (0.6130, 0.5000, 0.2241) [1 per cell]

---

4.
Density functional theory data (GGA-PBE) for a geometry-optimized CaMg14Cr structure.

Computed properties:
Energy of formation   7 kJ/mol of atoms
V   374.8 Å³ per cell

Unit cell a=6.4357 b=6.4357 c=10.4503 alpha=90.00 beta=90.00 gamma=120.00
Space group P-6m2 (No. 187)
Symmetry-distinct sites (fractional):
Ca (0.0000, 0.0000, 0.0000) [1 per cell]
Mg (0.0092, 0.5046, 0.0000) [3 per cell]
Mg (0.1656, 0.3312, 0.2634) [6 per cell]
Mg (0.5026, 0.0051, 0.5000) [3 per cell]
Mg (0.6667, 0.3333, 0.2420) [2 per cell]
Cr (0.0000, 0.0000, 0.5000) [1 per cell]

---

5.
Density functional theory data (GGA-PBE) for a geometry-optimized CaMg3Cr structure.

Computed properties:
Energy of formation   181 kJ/mol of atoms
V   172.3 Å³ per cell
Energy relative to the lowest polymorph listed for this composition   7.15 eV/f.u.

Unit cell a=5.5644 b=5.5644 c=5.5644 alpha=90.00 beta=90.00 gamma=90.00
Space group Pm-3m (No. 221)
Symmetry-distinct sites (fractional):
Ca (0.0000, 0.0000, 0.0000) [1 per cell]
Mg (0.0000, 0.0000, 0.5000) [3 per cell]
Cr (0.5000, 0.5000, 0.5000) [1 per cell]

---

6.
Density functional theory data (GGA-PBE) for a geometry-optimized CaMg2Cr structure.

Computed properties:
Energy of formation   53 kJ/mol of atoms
V   427.1 Å³ per cell

Unit cell a=4.4159 b=4.4159 c=21.9005 alpha=90.00 beta=90.00 gamma=90.00
Space group I-42d (No. 122)
Symmetry-distinct sites (fractional):
Ca (0.0000, 0.0000, 0.0000) [4 per cell]
Mg (0.2215, 0.2500, 0.6250) [8 per cell]
Cr (0.0000, 0.0000, 0.5000) [4 per cell]

---

7.
Density functional theory data (GGA-PBE) for a geometry-optimized CaMg2Cr structure.

Computed properties:
Energy of formation   39 kJ/mol of atoms
V   197.3 Å³ per cell

Unit cell a=6.2796 b=10.4264 c=3.1974 alpha=90.00 beta=109.52 gamma=90.00
Space group C2/m (No. 12)
Symmetry-distinct sites (fractional):
Ca (0.0000, 0.0000, 0.0000) [2 per cell]
Mg (0.2500, 0.2500, 0.5000) [4 per cell]
Cr (0.0000, 0.5000, 0.0000) [2 per cell]

---

8.
Density functional theory data (GGA-PBE) for a geometry-optimized CaMg2Cr structure.

Computed properties:
Energy of formation   28 kJ/mol of atoms
V   191.8 Å³ per cell

Unit cell a=4.6645 b=4.8156 c=8.5380 alpha=90.00 beta=90.00 gamma=90.00
Space group Imm2 (No. 44)
Symmetry-distinct sites (fractional):
Ca (0.0000, 0.0000, 0.0000) [2 per cell]
Mg (0.0000, 0.0000, 0.5033) [2 per cell]
Mg (0.0000, 0.5000, 0.7538) [2 per cell]
Cr (0.0000, 0.5000, 0.2479) [2 per cell]

---

9.
Density functional theory data (GGA-PBE) for a geometry-optimized CaMg2Cr structure.

Computed properties:
Energy of formation   29 kJ/mol of atoms
V   99.1 Å³ per cell

Unit cell a=3.6360 b=3.6360 c=7.4961 alpha=90.00 beta=90.00 gamma=90.00
Space group P4mm (No. 99)
Symmetry-distinct sites (fractional):
Ca (0.0000, 0.0000, 0.0000) [1 per cell]
Mg (0.0000, 0.0000, 0.4568) [1 per cell]
Mg (0.5000, 0.5000, 0.6907) [1 per cell]
Cr (0.5000, 0.5000, 0.2725) [1 per cell]

---

10.
Density functional theory data (GGA-PBE) for a geometry-optimized CaMg2Cr structure.

Computed properties:
Energy of formation   31 kJ/mol of atoms
V   99.3 Å³ per cell

Unit cell a=4.5631 b=4.5631 c=4.7678 alpha=90.00 beta=90.00 gamma=90.00
Space group P4/mmm (No. 123)
Symmetry-distinct sites (fractional):
Ca (0.0000, 0.0000, 0.0000) [1 per cell]
Mg (0.0000, 0.5000, 0.5000) [2 per cell]
Cr (0.5000, 0.5000, 0.0000) [1 per cell]

---

11.
Density functional theory data (GGA-PBE) for a geometry-optimized CaMg6Cr structure.

Computed properties:
Energy of formation   15 kJ/mol of atoms
V   382.8 Å³ per cell

Unit cell a=5.2082 b=6.4417 c=11.4094 alpha=90.00 beta=90.00 gamma=90.00
Space group Amm2 (No. 38)
Symmetry-distinct sites (fractional):
Ca (0.0000, 0.0000, 0.0000) [2 per cell]
Mg (0.0000, 0.2479, 0.2503) [4 per cell]
Mg (0.5000, 0.0000, 0.1685) [2 per cell]
Mg (0.5000, 0.0000, 0.6535) [2 per cell]
Mg (0.5000, 0.2383, 0.4110) [4 per cell]
Cr (0.0000, 0.0000, 0.4934) [2 per cell]

---

12.
Density functional theory data (GGA-PBE) for a geometry-optimized CaMg3Cr structure.

Computed properties:
Energy of formation   42 kJ/mol of atoms
V   141.3 Å³ per cell
Energy relative to the lowest polymorph listed for this composition   0.00 eV/f.u.

Unit cell a=5.2091 b=5.2091 c=5.2091 alpha=90.00 beta=90.00 gamma=90.00
Space group Pm-3m (No. 221)
Symmetry-distinct sites (fractional):
Ca (0.0000, 0.0000, 0.0000) [1 per cell]
Mg (0.0000, 0.5000, 0.5000) [3 per cell]
Cr (0.5000, 0.5000, 0.5000) [1 per cell]